Entry 1:
Compound: TaSbSe4
Source: the Alexandria database
Functional: PBE
Structure: optimized geometry

It has space group F-43m (No. 216), with a = 7.956 Å, b = 7.956 Å, c = 7.956 Å, α = 90.00°, β = 90.00° and γ = 90.00°. The asymmetric unit holds Ta at (0.000, 0.000, 0.000), Sb at (0.250, 0.250, 0.750) and Se at (0.127, 0.127, 0.373).

As for the energy above the most stable polymorph in this dataset: 32.84 kcal/mol of atoms. The formation energy without anion corrections is 0.909 eV/atom.

=====

Entry 2:
Compound: K2CoPt
Source: the Alexandria database
Functional: PBE
Structure: optimized geometry

It has space group Fm-3m (No. 225), with a = 7.652 Å, b = 7.652 Å, c = 7.652 Å, α = 90.00°, β = 90.00° and γ = 90.00°. The asymmetric unit holds K at (0.250, 0.250, 0.250), Co at (0.000, 0.000, 0.000) and Pt at (0.000, 0.000, 0.500).

The formation energy comes out at 3.73 eV per formula unit. As for the energy above the most stable polymorph in this dataset: 17.28 kcal/mol of atoms.

=====

Entry 3:
Compound: CsBa2BiH
Source: the Alexandria database
Functional: PBE
Structure: optimized geometry

It has space group P4/mmm (No. 123), with a = 5.756 Å, b = 5.756 Å, c = 5.589 Å, α = 90.00°, β = 90.00° and γ = 90.00°. The asymmetric unit holds Cs at (0.000, 0.000, 0.000), Ba at (0.000, 0.500, 0.500), Bi at (0.500, 0.500, 0.000) and H at (0.000, 0.000, 0.500).

=====

Entry 4:
Compound: ScNi2HRu
Source: the Alexandria database
Functional: PBE
Structure: optimized geometry

It has space group P4/mmm (No. 123), with a = 3.709 Å, b = 3.709 Å, c = 4.101 Å, α = 90.00°, β = 90.00° and γ = 90.00°. The asymmetric unit holds Sc at (0.000, 0.000, 0.000), Ni at (0.000, 0.500, 0.500), H at (0.000, 0.000, 0.500) and Ru at (0.500, 0.500, 0.000).

As for the energy above the most stable polymorph in this dataset: 1.18 kcal/mol of atoms.

=====

Entry 5:
Compound: AlAs2Pb
Source: the Alexandria database
Functional: PBE
Structure: optimized geometry

It has space group Imm2 (No. 44), with a = 3.558 Å, b = 5.437 Å, c = 9.455 Å, α = 90.00°, β = 90.00° and γ = 90.00°. The asymmetric unit holds Al at (0.000, 0.000, 0.000), As at (0.000, 0.000, 0.424), As at (0.000, 0.500, 0.722) and Pb at (0.000, 0.500, 0.224).

The formation energy comes out at 0.84 eV per formula unit. As for the energy above the most stable polymorph in this dataset: 7.52 kcal/mol of atoms.

=====

Entry 6:
Compound: Te2RhSe
Source: the Alexandria database
Functional: PBE
Structure: optimized geometry

It has space group R3m (No. 160, hexagonal axes), with a = 3.7823 Å, b = 3.7823 Å, c = 23.2079 Å, α = 90.00°, β = 90.00° and γ = 120.00°. The asymmetric unit holds Te at (0.0000, 0.0000, 0.0000), Te at (0.0000, 0.0000, 0.2325), Rh at (0.0000, 0.0000, 0.7342) and Se at (0.0000, 0.0000, 0.4553).

The formation energy without anion corrections is -0.106 eV/atom.

=====

Entry 7:
Compound: Sr4Zn3In
Source: the Alexandria database
Functional: PBE
Structure: optimized geometry

It has space group Pmm2 (No. 25), with a = 4.671 Å, b = 4.703 Å, c = 12.079 Å, α = 90.00°, β = 90.00° and γ = 90.00°. The asymmetric unit holds Sr at (0.000, 0.000, 0.000), Sr at (0.000, 0.500, 0.490), Sr at (0.500, 0.000, 0.704), Sr at (0.500, 0.500, 0.209), Zn at (0.000, 0.000, 0.295), Zn at (0.500, 0.000, 0.405), Zn at (0.500, 0.500, 0.920) and In at (0.000, 0.500, 0.785).

The formation energy comes out at -1.93 eV per formula unit.

=====

Entry 8:
Compound: NpTe2Au
Source: the Alexandria database
Functional: PBE
Structure: optimized geometry

It has space group P4/mmm (No. 123), with a = 4.966 Å, b = 4.966 Å, c = 3.953 Å, α = 90.00°, β = 90.00° and γ = 90.00°. The asymmetric unit holds Np at (0.000, 0.000, 0.000), Te at (0.000, 0.500, 0.500) and Au at (0.500, 0.500, 0.000).

The formation energy without anion corrections is -0.348 eV/atom.

=====

Entry 9:
Compound: BaAc2Cr2N6
Source: the Alexandria database
Functional: PBE
Structure: optimized geometry

It has space group P-1 (No. 2), with a = 6.047 Å, b = 6.051 Å, c = 6.938 Å, α = 65.55°, β = 65.22° and γ = 66.09°. The asymmetric unit holds Ba at (0.000, 0.000, 0.000), Ac at (0.248, 0.276, 0.310), Cr at (0.497, 0.657, 0.314), N at (0.176, 0.741, 0.359), N at (0.325, 0.511, 0.873) and N at (0.400, 0.125, 0.678).

The formation energy without anion corrections is -0.831 eV/atom.

=====

Entry 10:
Compound: Y3PbSeO
Source: the Alexandria database
Functional: PBE
Structure: optimized geometry

It has space group P2_1/m (No. 11), with a = 8.905 Å, b = 4.002 Å, c = 8.967 Å, α = 90.00°, β = 102.07° and γ = 90.00°. The asymmetric unit holds Y at (0.078, 0.250, 0.340), Y at (0.340, 0.250, 0.984), Y at (0.392, 0.750, 0.647), Pb at (0.322, 0.750, 0.276), Se at (0.155, 0.250, 0.667) and O at (0.411, 0.750, 0.904).

The formation energy without anion corrections is -1.734 eV/atom.

=====

Entry 11:
Compound: Ti4CO3
Source: the Alexandria database
Functional: PBE
Structure: optimized geometry

It has space group P2/c (No. 13), with a = 5.273 Å, b = 6.125 Å, c = 5.295 Å, α = 90.00°, β = 109.54° and γ = 90.00°. The asymmetric unit holds Ti at (0.224, 0.132, 0.484), Ti at (0.232, 0.389, 0.000), C at (0.000, 0.378, 0.250), O at (0.000, 0.133, 0.750), O at (0.500, 0.120, 0.250) and O at (0.500, 0.367, 0.750).

The formation energy without anion corrections is -2.063 eV/atom.

=====

Entry 12:
Compound: VNiAu
Source: the Alexandria database
Functional: PBE
Structure: optimized geometry

It has space group Cm (No. 8), with a = 9.441 Å, b = 2.894 Å, c = 6.591 Å, α = 90.00°, β = 109.76° and γ = 90.00°. The asymmetric unit holds V at (0.000, 0.000, 0.000), V at (0.127, 0.500, 0.802), Ni at (0.323, 0.000, 0.727), Ni at (0.453, 0.500, 0.531), Au at (0.140, 0.500, 0.383) and Au at (0.311, 0.000, 0.157).

The formation energy comes out at -0.01 eV per formula unit. As for the energy above the most stable polymorph in this dataset: 1.31 kcal/mol of atoms.

=====

The evaluated final energy for the records listed, in turn: -4.076; -2.904; -2.791; -6.326; -3.978; -4.386; -1.902; -5.973; -8.044; -6.991; -9.023; -6.062 eV/atom.